The following is a PBE+U calculation of a geometry-optimized Cr2GeO structure, from Alexandria.

Cell: 5.316 5.316 6.494 Å, 65.84 65.84 90.00°
Site moments in Bohr magnetons follow the coordinates.
Fractional coordinates of all 8 atoms:
1 O 0.500 0.500 0.000  -0.11
2 O 0.250 0.750 0.500  -0.11
3 Cr 0.254 0.625 0.250  3.79
4 Cr 0.875 0.746 0.750  3.81
5 Cr 0.375 0.504 0.750  3.75
6 Cr 0.496 0.125 0.250  3.80
7 Ge 0.750 0.250 0.500  -0.19
8 Ge 0.000 0.000 0.000  -0.19

Results
For the energy above the most stable polymorph in this dataset, the calculation gives 0 meV/atom. As for the density: 4.27 g cm⁻³. The electronic total energy comes out at -6.48 eV per atom.